Compound: ErPaVO6
Source: Alexandria via LeMat-Bulk
Functional: PBE+U
Structure: relaxed

Unit cell a=5.3741 b=5.3741 c=9.5018 alpha=90.00 beta=90.00 gamma=120.00
Closest atoms and distances in Å follow each position.
Element x y z (fractional)
Er  0.3333  0.6667  0.2500  6 O 2.24
Er  0.6667  0.3333  0.7500  6 O 2.24
Pa  0.0000  0.0000  0.0000  6 O 2.21
Pa  0.0000  0.0000  0.5000  6 O 2.21
V  0.6667  0.3333  0.2500  6 O 1.98
V  0.3333  0.6667  0.7500  6 O 1.98
O  0.6830  0.6449  0.1324  1 V 1.98, 1 Pa 2.21
O  0.9620  0.3170  0.1324  1 V 1.98, 1 Pa 2.21
O  0.3170  0.9620  0.6324  1 V 1.98, 1 Pa 2.21
O  0.0380  0.6830  0.8676  1 V 1.98, 1 Pa 2.21
O  0.3551  0.3170  0.3676  1 V 1.98, 1 Pa 2.21
O  0.9620  0.6449  0.3676  1 V 1.98, 1 Pa 2.21
O  0.6449  0.9620  0.8676  1 V 1.98, 1 Pa 2.21
O  0.6830  0.0380  0.3676  1 V 1.98, 1 Pa 2.21
O  0.0380  0.3551  0.6324  1 V 1.98, 1 Pa 2.21
O  0.3551  0.0380  0.1324  1 V 1.98, 1 Pa 2.21
O  0.6449  0.6830  0.6324  1 V 1.98, 1 Pa 2.21
O  0.3170  0.3551  0.8676  1 V 1.98, 1 Pa 2.21

Uncorrected energy = -78.08 eV per formula unit
SG = P-31c (163)